Density functional theory data (PBE-GGA) for a relaxed Cs2CrTe4As crystal.

Cell: 13.1033 13.1074 9.0269 Å, 90.00 133.51 90.00°
Space group C2/c (No. 15)
Unique sites:
Cs1 0.0000 0.0000 0.0000 [4 per cell]
Cs2 0.2500 0.2500 0.0000 [4 per cell]
Cr1 0.0000 0.5000 0.0000 [4 per cell]
Te1 0.0009 0.2834 0.4582 [8 per cell]
Te2 0.1894 0.4804 0.4382 [8 per cell]
As1 0.2500 0.2500 0.5000 [4 per cell]

## Properties
V, Å³ per cell: 1124.36
Crystal system: monoclinic
Formation energy without anion corrections, eV per atom: -0.339